A plane-wave DFT calculation with PBE+U was carried out for crystalline V2BiTeO at its relaxed geometry.

Results
M_tot (μB/f.u.): 6.1
E_tot (eV per cell): -23.88
DOS(E_F) (states/eV per atom): 0.52

Structure (CIF):
```
data_V2BiTeO
_chemical_formula_sum 'V2 Bi1 Te1 O1'
_cell_length_a 5.523
_cell_length_b 5.523
_cell_length_c 4.313
_cell_angle_alpha 90.00
_cell_angle_beta 90.00
_cell_angle_gamma 90.00
_symmetry_space_group_name_H-M 'P 1'
_symmetry_Int_Tables_number 1
_symmetry_space_group_name_Hall 'P 1'
loop_
_atom_site_label
_atom_site_fract_x
_atom_site_fract_y
_atom_site_fract_z
_atom_site_occupancy
V1 0.000 0.500 0.000 1
V2 0.500 0.000 0.000 1
Bi1 0.000 0.000 0.000 1
Te1 0.500 0.500 0.500 1
O1 0.000 0.000 0.500 1
```